## Er8Bi2C3 (PBE)

Data for an optimized crystal structure of Er8Bi2C3.

a = 6.322 Å, b = 7.193 Å, c = 8.447 Å
α = 115.20°, β = 104.45°, γ = 90.00°
Sites, in units of the cell vectors:
1 Er 0.912 0.591 0.183
2 Er 0.088 0.409 0.817
3 Er 0.894 0.089 0.179
4 Er 0.106 0.911 0.821
5 Er 0.613 0.671 0.824
6 Er 0.613 0.153 0.824
7 Er 0.387 0.847 0.176
8 Er 0.387 0.329 0.176
9 Bi 0.321 0.253 0.507
10 Bi 0.679 0.747 0.493
11 C 0.500 0.000 0.000
12 C 0.000 0.252 0.000
13 C 0.000 0.748 0.000

## Properties
**Calculated volume**: 334.1 Å³/cell
**Space group**: C2/m, No. 12
**Total energy**: -5.939 eV/atom
**Density**: 8.91 g/cm3